Entry 1:
Computed, not measured: a relaxed structure of RbMgHSe2 at the PBE level of DFT.

## Properties
- total DFT energy (no corrections) (eV/atom) = -3.438
- crystal system = orthorhombic
- spin magnetization (μB/atom) = 0.00
- SG = Cmme, No. 67
- D(E_F) (states/eV/f.u.) = 0.00
- calculated volume (Å³ per atom) = 25.98

Structure (POSCAR):
```
RbMgHSe2
1.0
-1.846 -1.857 4.856
3.153 -5.803 -1.020
4.171 5.468 3.677
Mg Se H Rb
2 4 2 2
Direct
0.500 0.250 0.000
0.500 0.750 0.000
0.772 0.593 0.186
0.228 0.407 0.814
0.228 0.093 0.186
0.772 0.907 0.814
0.000 0.500 0.000
0.000 0.000 0.000
0.250 0.750 0.500
0.750 0.250 0.500
```

---

Entry 2:
Computed, not measured: a relaxed structure of CoAsP2 at the PBE level of DFT.

## Properties
- total DFT energy (no corrections) (eV/atom) = -5.106
- crystal system = tetragonal
- spin magnetization (μB/atom) = 0.16
- SG = P4/mmm, No. 123
- D(E_F) (states/eV/f.u.) = 3.32
- calculated volume (Å³ per atom) = 14.19
- formation energy from the elements (eV/atom) = 0.5381

Structure (POSCAR):
```
CoAsP2
1.0
-1.894 -1.221 -1.638
2.046 -3.977 0.599
-2.601 -0.796 3.601
Co P As
1 2 1
Direct
0.500 0.000 0.500
0.000 0.500 0.500
0.000 0.000 0.000
0.500 0.500 0.000
```

---

Entry 3:
Computed, not measured: a relaxed structure of Ca2MgTa at the PBE level of DFT.

## Properties
- total DFT energy (no corrections) (eV/atom) = -3.680
- crystal system = tetragonal
- spin magnetization (μB/atom) = 0.49
- SG = P4/mmm, No. 123
- D(E_F) (states/eV/f.u.) = 4.24
- calculated volume (Å³ per atom) = 27.16
- formation energy from the elements (eV/atom) = 0.6830

Structure (POSCAR):
```
Ca2MgTa
1.0
-3.497 -3.182 -0.992
2.879 -3.554 1.251
-1.554 0.315 4.469
Ca Ta Mg
2 1 1
Direct
0.000 0.000 0.000
0.000 0.500 0.500
0.500 0.000 0.500
0.500 0.500 0.000
```

---

Entry 4:
Computed, not measured: a relaxed structure of Hf2Tl2P at the PBE level of DFT.

## Properties
- total DFT energy (no corrections) (eV/atom) = -6.322
- crystal system = tetragonal
- spin magnetization (μB/atom) = 0.00
- SG = P4/mbm, No. 127
- D(E_F) (states/eV/f.u.) = 1.24
- calculated volume (Å³ per atom) = 22.54
- formation energy from the elements (eV/atom) = -0.3126

Structure (POSCAR):
```
Hf2Tl2P
1.0
6.799 0.000 0.000
0.000 6.799 0.000
0.000 0.000 4.876
Hf Tl P
4 4 2
Direct
0.836 0.664 0.000
0.664 0.164 0.000
0.336 0.836 0.000
0.164 0.336 0.000
0.840 0.340 0.500
0.160 0.660 0.500
0.660 0.840 0.500
0.340 0.160 0.500
0.000 0.000 0.000
0.500 0.500 0.000
```